Entry 1:
## Na3Np2MnS6 (PBE-GGA)

Data for a relaxed structure of Na3Np2MnS6.

Cell lengths 6.7632, 6.7632, 7.0386 Å; angles 99.21, 99.21, 120.00 degrees
Last column: nearest neighbours and their distance in Å.
Positions (direct):
S (0.7455, 0.7455, 0.2225)  1 Mn 2.67, 2 Np 2.71, 3 Na 2.90-2.94
S (0.2545, 0.2545, 0.7775)  1 Mn 2.67, 2 Np 2.71, 3 Na 2.90-2.94
S (0.9257, 0.5970, 0.7772)  1 Mn 2.67, 2 Np 2.71, 3 Na 2.90-2.95
S (0.0743, 0.4030, 0.2228)  1 Mn 2.67, 2 Np 2.71, 3 Na 2.90-2.95
S (0.4030, 0.0743, 0.2228)  1 Mn 2.67, 2 Np 2.71, 3 Na 2.90-2.95
S (0.5970, 0.9257, 0.7772)  1 Mn 2.67, 2 Np 2.71, 3 Na 2.90-2.95
Na (0.1655, 0.8345, 0.5000)  6 S 2.90-2.95
Na (0.5000, 0.5000, 0.5000)  6 S 2.90-2.94
Na (0.8345, 0.1655, 0.5000)  6 S 2.90-2.95
Np (0.6668, 0.3332, 0.0000)  6 S 2.71
Np (0.3332, 0.6668, 0.0000)  6 S 2.71
Mn (0.0000, 0.0000, 0.0000)  6 S 2.67

Calculated values
As for the density of states at the Fermi level: 18.2 states/eV per cell. The energy relative to the elements, uncorrected is -1.20 eV per atom. As for the crystal system: monoclinic. As for the mass density: 5.0 g/cm3.

Entry 2:
## BaCaBN2 (PBE-GGA)

Data for a relaxed structure of BaCaBN2.

Cell lengths 6.0197, 4.6907, 7.2091 Å; angles 90.00, 90.03, 90.01 degrees
Last column: nearest neighbours and their distance in Å.
Positions (direct):
Ba (0.0004, 0.5000, 0.2500)  4 B 2.96, 8 N 3.24-3.25
Ba (0.9996, 0.5000, 0.7500)  4 B 2.96, 8 N 3.24-3.25
N (0.2228, 0.0002, 0.9999)  1 B 1.34
N (0.2228, 0.9997, 0.4999)  1 B 1.34
N (0.7772, 0.0003, 0.5001)  1 B 1.34
N (0.7772, 0.9998, 0.0001)  1 B 1.34
Ca (0.5002, 0.0000, 0.2500)  4 N 2.46
Ca (0.4998, 0.0000, 0.7500)  4 N 2.46
B (0.0000, 0.0000, 0.0000)  2 N 1.34
B (0.0000, 0.0000, 0.5000)  2 N 1.34

Calculated values
As for the density of states at the Fermi level: 2.9 states/eV per cell. The energy relative to the elements, uncorrected is -0.86 eV per atom. As for the crystal system: orthorhombic. As for the mass density: 3.5 g/cm3.

Entry 3:
## Dy4Tm3Sc5 (PBE-GGA)

Data for a relaxed structure of Dy4Tm3Sc5.

Cell lengths 5.6428, 8.1748, 9.0349 Å; angles 102.46, 71.80, 69.81 degrees
Last column: nearest neighbours and their distance in Å.
Positions (direct):
Tm (0.5317, 0.6962, 0.2403)  5 Sc 3.03-3.25, 2 Dy 3.35
Tm (0.0000, 0.5000, 0.5000)  4 Sc 2.82-3.04
Tm (0.4683, 0.3038, 0.7597)  5 Sc 3.03-3.25, 2 Dy 3.35
Dy (0.1721, 0.0382, 0.6177)  3 Tm 3.35-3.43, 3 Dy 3.39-3.50, 4 Sc 3.49-3.69
Dy (0.1420, 0.7711, 0.9448)  6 Sc 3.28-3.62, 2 Dy 3.29-3.50, 1 Tm 3.35
Dy (0.8580, 0.2289, 0.0552)  6 Sc 3.28-3.62, 2 Dy 3.29-3.50, 1 Tm 3.35
Dy (0.8279, 0.9618, 0.3823)  3 Tm 3.35-3.43, 3 Dy 3.39-3.50, 4 Sc 3.49-3.69
Sc (0.3578, 0.0809, 0.2036)  2 Tm 3.08-3.30, 2 Sc 3.26
Sc (0.1944, 0.4732, 0.1380)  4 Tm 3.03-3.25, 1 Sc 3.26, 3 Dy 3.28-3.32
Sc (0.8056, 0.5268, 0.8620)  4 Tm 3.03-3.25, 1 Sc 3.26, 3 Dy 3.28-3.32
Sc (0.5000, 0.5000, 0.5000)  4 Tm 2.82-3.11
Sc (0.6422, 0.9191, 0.7964)  2 Tm 3.08-3.30, 2 Sc 3.26

Calculated values
As for the density of states at the Fermi level: 19.6 states/eV per cell. As for the crystal system: monoclinic. The formation energy comes out at 0.245 eV per atom. As for the mass density: 6.6 g/cm3.

Entry 4:
## GdAgI2 (PBE-GGA)

Data for a relaxed structure of GdAgI2.

Cell lengths 4.2271, 4.2271, 9.9415 Å; angles 77.73, 77.73, 60.00 degrees
Last column: nearest neighbours and their distance in Å.
Positions (direct):
I (0.1051, 0.1051, 0.6847)  3 Ag 3.02, 1 Gd 3.04
I (0.8949, 0.8949, 0.3153)  3 Ag 3.02, 1 Gd 3.04
Ag (0.5000, 0.5000, 0.5000)  6 I 3.02
Gd (0.0000, 0.0000, 0.0000)  2 I 3.04

Calculated values
As for the density of states at the Fermi level: 5.8 states/eV per cell. The energy relative to the elements, uncorrected is -0.29 eV per atom. As for the crystal system: trigonal. As for the mass density: 5.8 g/cm3.

Entry 5:
## TiAg2Bi2 (PBE-GGA)

Data for a relaxed structure of TiAg2Bi2.

Cell lengths 7.5997, 7.5997, 4.0784 Å; angles 90.00, 90.00, 90.00 degrees
Last column: nearest neighbours and their distance in Å.
Positions (direct):
Ag (0.3720, 0.8720, 0.0000)  1 Ag 2.75, 2 Bi 2.91, 2 Ti 2.99
Ag (0.8720, 0.6280, 0.0000)  1 Ag 2.75, 2 Bi 2.91, 2 Ti 2.99
Ag (0.1280, 0.3720, 0.0000)  1 Ag 2.75, 2 Bi 2.91, 2 Ti 2.99
Ag (0.6280, 0.1280, 0.0000)  1 Ag 2.75, 2 Bi 2.91, 2 Ti 2.99
Ti (0.0000, 0.0000, 0.0000)  4 Ag 2.99
Ti (0.5000, 0.5000, 0.0000)  4 Ag 2.99
Bi (0.3215, 0.1785, 0.5000)  6 Ag 2.91-3.12
Bi (0.1785, 0.6785, 0.5000)  6 Ag 2.91-3.12
Bi (0.8215, 0.3215, 0.5000)  6 Ag 2.91-3.12
Bi (0.6785, 0.8215, 0.5000)  6 Ag 2.91-3.12

Calculated values
As for the density of states at the Fermi level: 14.0 states/eV per cell. As for the crystal system: tetragonal. The formation energy comes out at 0.247 eV per atom. As for the mass density: 9.6 g/cm3.

Entry 6:
## BaCrNi2 (PBE-GGA)

Data for a relaxed structure of BaCrNi2.

Cell lengths 4.7697, 4.7659, 3.3439 Å; angles 90.00, 90.00, 90.00 degrees
Last column: nearest neighbours and their distance in Å.
Positions (direct):
Ni (0.0000, 0.0000, 0.0000)  4 Cr 2.91, 4 Ba 2.91
Ni (0.5000, 0.5000, 0.0000)  4 Ba 2.91, 4 Cr 2.91
Ba (0.5000, 0.0000, 0.5000)  8 Ni 2.91
Cr (0.0000, 0.5000, 0.5000)  8 Ni 2.91

Calculated values
As for the density of states at the Fermi level: 3.5 states/eV per cell. As for the crystal system: tetragonal. The formation energy comes out at 0.711 eV per atom. As for the mass density: 6.7 g/cm3.

Entry 7:
## CuAgF2 (PBE-GGA)

Data for a relaxed structure of CuAgF2.

Cell lengths 6.0990, 6.0990, 5.2290 Å; angles 54.32, 54.32, 90.00 degrees
Last column: nearest neighbours and their distance in Å.
Positions (direct):
F (0.8750, 0.8187, 0.7500)  2 Cu 2.07
F (0.5687, 0.1250, 0.2500)  2 Cu 2.07
F (0.3750, 0.4313, 0.7500)  2 Cu 2.07
F (0.1813, 0.6250, 0.2500)  2 Cu 2.07
Ag (0.0000, 0.0000, 0.0000)  4 F 2.52
Ag (0.7500, 0.2500, 0.5000)  4 F 2.52
Cu (0.5000, 0.5000, 0.0000)  4 F 2.07
Cu (0.2500, 0.7500, 0.5000)  4 F 2.07

Calculated values
As for the density of states at the Fermi level: 5.8 states/eV per cell. The energy relative to the elements, uncorrected is -0.94 eV per atom. As for the crystal system: tetragonal. As for the mass density: 6.3 g/cm3.

Entry 8:
## RbRh3W (PBE-GGA)

Data for a relaxed structure of RbRh3W.

Cell lengths 4.8403, 4.8403, 4.8403 Å; angles 90.00, 90.00, 90.00 degrees
Last column: nearest neighbours and their distance in Å.
Positions (direct):
Rh (0.5000, 0.0000, 0.0000)  2 W 2.42
Rh (0.0000, 0.0000, 0.5000)  2 W 2.42
Rh (0.0000, 0.5000, 0.0000)  2 W 2.42
Rb (0.5000, 0.5000, 0.5000)  12 Rh 3.42
W (0.0000, 0.0000, 0.0000)  6 Rh 2.42

Calculated values
As for the density of states at the Fermi level: 2.0 states/eV per cell. As for the crystal system: cubic. The formation energy comes out at 0.849 eV per atom. As for the mass density: 8.5 g/cm3.

Entry 9:
## MgTaRu2 (PBE-GGA)

Data for a relaxed structure of MgTaRu2.

Cell lengths 4.4622, 4.4622, 4.4622 Å; angles 60.00, 60.00, 60.00 degrees
Last column: nearest neighbours and their distance in Å.
Positions (direct):
Mg (0.5000, 0.5000, 0.5000)  4 Ta 2.73, 4 Ru 2.73
Ru (0.0000, 0.0000, 0.0000)  4 Ta 2.73, 4 Ru 2.73
Ru (0.2500, 0.2500, 0.2500)  4 Mg 2.73, 4 Ru 2.73
Ta (0.7500, 0.7500, 0.7500)  4 Mg 2.73, 4 Ru 2.73

Calculated values
As for the density of states at the Fermi level: 4.5 states/eV per cell. As for the crystal system: cubic. The formation energy comes out at 0.272 eV per atom. As for the mass density: 10.8 g/cm3.

Entry 10:
## CsNdMnSe3 (PBE-GGA)

Data for a relaxed structure of CsNdMnSe3.

Cell lengths 4.3635, 9.8399, 10.3680 Å; angles 109.81, 90.00, 90.00 degrees
Last column: nearest neighbours and their distance in Å.
Positions (direct):
Cs (0.7500, 0.7897, 0.7607)  7 Se 3.68-3.87
Cs (0.2500, 0.2103, 0.2393)  7 Se 3.68-3.87
Mn (0.7500, 0.9146, 0.3910)  4 Se 2.47-2.61
Mn (0.2500, 0.0854, 0.6090)  4 Se 2.47-2.61
Nd (0.2500, 0.6676, 0.1406)  6 Se 2.92-3.13
Nd (0.7500, 0.3324, 0.8594)  6 Se 2.92-3.13
Se (0.2500, 0.8121, 0.4601)  3 Mn 2.60-2.61
Se (0.7500, 0.1879, 0.5399)  3 Mn 2.60-2.61
Se (0.2500, 0.1208, 0.8564)  1 Mn 2.47
Se (0.2500, 0.5293, 0.8430)  3 Nd 2.92-2.96
Se (0.7500, 0.8792, 0.1436)  1 Mn 2.47
Se (0.7500, 0.4707, 0.1570)  3 Nd 2.92-2.96

Calculated values
The energy relative to the elements, uncorrected is -1.31 eV per atom. As for the crystal system: monoclinic. As for the mass density: 4.5 g/cm3.

Entry 11:
## Dy4Mg3Tc (PBE-GGA)

Data for a relaxed structure of Dy4Mg3Tc.

Cell lengths 3.5674, 3.5674, 16.0354 Å; angles 90.00, 90.00, 90.00 degrees
Last column: nearest neighbours and their distance in Å.
Positions (direct):
Dy (0.0000, 0.0000, 0.3708)  8 Mg 3.26-3.29, 4 Dy 3.57
Dy (0.0000, 0.0000, 0.6292)  8 Mg 3.26-3.29, 4 Dy 3.57
Dy (0.0000, 0.0000, 0.9006)  4 Tc 2.98, 1 Dy 3.19
Dy (0.0000, 0.0000, 0.0994)  4 Tc 2.98, 1 Dy 3.19
Mg (0.5000, 0.5000, 0.5000)  8 Dy 3.26, 4 Mg 3.57
Mg (0.5000, 0.5000, 0.7609)  8 Dy 3.29-3.37, 4 Mg 3.57
Mg (0.5000, 0.5000, 0.2391)  8 Dy 3.29-3.37, 4 Mg 3.57
Tc (0.5000, 0.5000, 0.0000)  8 Dy 2.98

Calculated values
As for the density of states at the Fermi level: 8.8 states/eV per cell. As for the crystal system: tetragonal. The formation energy comes out at -0.070 eV per atom. As for the mass density: 6.7 g/cm3.